{
  "formula": "TbYCu2Pb",
  "functional": "PBE",
  "state": "optimized geometry",
  "lattice": [[3.7172, 0.0000, 0.0000], [0.0000, 2.1067, 7.0140], [0.0000, -2.1067, 7.0140]],
  "species": ["Tb", "Y", "Cu", "Cu", "Pb"],
  "frac_coords": [[0.0000, 0.0000, 0.0000], [0.0000, 0.7290, 0.7290], [0.5000, 0.1611, 0.1611], [0.5000, 0.5670, 0.5670], [0.5000, 0.3638, 0.3638]],
  "total_energy_ev_per_atom": -4.83,
  "m_tot_mub_per_cell": 0.01,
  "sg": "Amm2"
}



{
  "formula": "TbY2Cu4Pb4",
  "functional": "PBE",
  "state": "optimized geometry",
  "lattice": [[-2.2854, 3.5452, 7.5215], [2.2854, -3.5452, 7.5215], [2.2854, 3.5452, -7.5215]],
  "species": ["Tb", "Y", "Y", "Cu", "Cu", "Cu", "Cu", "Pb", "Pb", "Pb", "Pb"],
  "frac_coords": [[0.0000, 0.0000, 0.0000], [0.3685, 0.8685, 0.5000], [0.6315, 0.1315, 0.5000], [0.0164, 0.3294, 0.6870], [0.3576, 0.6706, 0.6870], [0.6424, 0.3294, 0.3130], [0.9836, 0.6706, 0.3130], [0.2164, 0.2164, 0.0000], [0.2917, 0.5000, 0.7917], [0.7083, 0.5000, 0.2083], [0.7836, 0.7836, 0.0000]],
  "total_energy_ev_per_atom": -4.57,
  "m_tot_mub_per_cell": 0.00,
  "sg": "Immm"
}



{
  "formula": "CuTcPbW",
  "functional": "PBE",
  "state": "optimized geometry",
  "lattice": [[0.0000, 3.2062, 3.2062], [3.2062, 0.0000, 3.2062], [3.2062, 3.2062, 0.0000]],
  "species": ["Cu", "Tc", "Pb", "W"],
  "frac_coords": [[0.0000, 0.0000, 0.0000], [0.5000, 0.5000, 0.5000], [0.2500, 0.2500, 0.2500], [0.7500, 0.7500, 0.7500]],
  "m_tot_mub_per_cell": 0.00,
  "polymorph_energy_ev_per_atom": 0.000,
  "sg": "F-43m"
}



{
  "formula": "ZnCuTcPb",
  "functional": "PBE",
  "state": "optimized geometry",
  "lattice": [[0.0000, 3.2668, 3.2668], [3.2668, 0.0000, 3.2668], [3.2668, 3.2668, 0.0000]],
  "species": ["Zn", "Cu", "Tc", "Pb"],
  "frac_coords": [[0.0000, 0.0000, 0.0000], [0.5000, 0.5000, 0.5000], [0.7500, 0.7500, 0.7500], [0.2500, 0.2500, 0.2500]],
  "m_tot_mub_per_cell": 2.27,
  "polymorph_energy_ev_per_atom": 0.163,
  "sg": "F-43m"
}



{
  "formula": "ZnCuTcPb",
  "functional": "PBE",
  "state": "optimized geometry",
  "lattice": [[0.0000, 3.2152, 3.2152], [3.2152, 0.0000, 3.2152], [3.2152, 3.2152, 0.0000]],
  "species": ["Zn", "Cu", "Tc", "Pb"],
  "frac_coords": [[0.0000, 0.0000, 0.0000], [0.7500, 0.7500, 0.7500], [0.2500, 0.2500, 0.2500], [0.5000, 0.5000, 0.5000]],
  "m_tot_mub_per_cell": 0.00,
  "polymorph_energy_ev_per_atom": 0.000,
  "sg": "F-43m"
}



{
  "formula": "Cu3Te4Pb",
  "functional": "PBE",
  "state": "optimized geometry",
  "lattice": [[-3.0722, 3.0722, 6.1209], [3.0722, -3.0722, 6.1209], [3.0722, 3.0722, -6.1209]],
  "species": ["Cu", "Cu", "Cu", "Te", "Te", "Te", "Te", "Pb"],
  "frac_coords": [[0.0000, 0.0000, 0.0000], [0.2500, 0.7500, 0.5000], [0.7500, 0.2500, 0.5000], [0.0853, 0.6382, 0.0000], [0.3618, 0.3618, 0.4471], [0.6382, 0.0853, 0.0000], [0.9147, 0.9147, 0.5529], [0.5000, 0.5000, 0.0000]],
  "total_energy_ev_per_atom": -3.53,
  "sg": "I-42m"
}



{
  "formula": "YCuTe3Pb",
  "functional": "PBE",
  "state": "optimized geometry",
  "lattice": [[8.3601, 0.0000, 0.0000], [0.0000, 4.2990, 0.0000], [-2.8482, 0.0000, 10.2080]],
  "species": ["Y", "Y", "Cu", "Cu", "Te", "Te", "Te", "Te", "Te", "Te", "Pb", "Pb"],
  "frac_coords": [[0.2009, 0.2500, 0.1682], [0.7991, 0.7500, 0.8318], [0.4241, 0.7500, 0.4112], [0.5759, 0.2500, 0.5888], [0.0738, 0.2500, 0.8614], [0.2467, 0.2500, 0.4611], [0.4573, 0.7500, 0.1675], [0.5427, 0.2500, 0.8325], [0.7533, 0.7500, 0.5389], [0.9262, 0.7500, 0.1386], [0.2412, 0.7500, 0.6998], [0.7588, 0.2500, 0.3002]],
  "total_energy_ev_per_atom": -4.59,
  "m_tot_mub_per_cell": 0.01,
  "sg": "P2_1/m"
}



{
  "formula": "ThCu2Pb2",
  "functional": "PBE",
  "state": "optimized geometry",
  "lattice": [[-2.2484, 2.2484, 5.6075], [2.2484, -2.2484, 5.6075], [2.2484, 2.2484, -5.6075]],
  "species": ["Th", "Cu", "Cu", "Pb", "Pb"],
  "frac_coords": [[0.0000, 0.0000, 0.0000], [0.3975, 0.3975, 0.0000], [0.6025, 0.6025, 0.0000], [0.2500, 0.7500, 0.5000], [0.7500, 0.2500, 0.5000]],
  "total_energy_ev_per_atom": -4.49,
  "m_tot_mub_per_cell": 0.00,
  "sg": "I4/mmm"
}